[1]
This record from the Alexandria database describes crystalline KMoAs at its relaxed geometry. The functional is PBE.

abc: 3.2562 3.2562 7.4172
angles: 90.00 90.00 120.00
Positions (direct):
K: 0.0000 0.0000 0.0000
Mo: 0.6667 0.3333 0.4115
As: 0.3333 0.6667 0.6358

Properties
Space-group type   P3m1, No. 156
DFT total energy   -15.33 eV per cell
Formation energy from the elements   0.41 eV per atom
Energy above the most stable polymorph in this dataset   689 meV/atom

[2]
This record from the Alexandria database describes crystalline Pr3In3Hg2 at its relaxed geometry. The functional is PBE.

abc: 18.7960 4.7821 5.1425
angles: 90.00 105.81 90.00
Positions (direct):
Pr: 0.0000 0.0000 0.0000
Pr: 0.1420 0.0000 0.6398
Pr: 0.3580 0.5000 0.3602
Pr: 0.5000 0.5000 0.0000
Pr: 0.6420 0.5000 0.6398
Pr: 0.8580 0.0000 0.3602
In: 0.0000 0.5000 0.5000
In: 0.1309 0.5000 0.1300
In: 0.3691 0.0000 0.8700
In: 0.5000 0.0000 0.5000
In: 0.6309 0.0000 0.1300
In: 0.8691 0.5000 0.8700
Hg: 0.2436 0.0000 0.2416
Hg: 0.2564 0.5000 0.7584
Hg: 0.7436 0.5000 0.2416
Hg: 0.7564 0.0000 0.7584

Properties
Space-group type   C2/m, No. 12
DFT total energy   -53.45 eV per cell
Formation energy from the elements   -0.45 eV per atom
Energy above the most stable polymorph in this dataset   23 meV/atom

[3]
This record from the Alexandria database describes crystalline HgH3Pd12Pb4 at its relaxed geometry. The functional is PBE.

abc: 7.5353 7.5353 7.5353
angles: 109.47 109.47 109.47
Positions (direct):
Hg: 0.0000 0.0000 0.0000
H: 0.0000 0.5000 0.5000
H: 0.5000 0.0000 0.5000
H: 0.5000 0.5000 0.0000
Pd: 0.0000 0.2977 0.2977
Pd: 0.0000 0.7023 0.7023
Pd: 0.2500 0.5000 0.7500
Pd: 0.2500 0.7500 0.5000
Pd: 0.2977 0.0000 0.2977
Pd: 0.2977 0.2977 0.0000
Pd: 0.5000 0.2500 0.7500
Pd: 0.5000 0.7500 0.2500
Pd: 0.7023 0.0000 0.7023
Pd: 0.7023 0.7023 0.0000
Pd: 0.7500 0.2500 0.5000
Pd: 0.7500 0.5000 0.2500
Pb: 0.0000 0.0000 0.5000
Pb: 0.0000 0.5000 0.0000
Pb: 0.5000 0.0000 0.0000
Pb: 0.5000 0.5000 0.5000

Properties
Space-group type   Im-3m, No. 229
DFT total energy   -89.22 eV per cell

[4]
This record from the Alexandria database describes crystalline HoBe9Rh2 at its relaxed geometry. The functional is PBE.

abc: 4.4671 4.4671 14.2466
angles: 90.00 90.00 120.00
Positions (direct):
Ho: 0.3333 0.6667 0.2500
Ho: 0.6667 0.3333 0.7500
Be: 0.0000 0.0000 0.0000
Be: 0.0000 0.0000 0.2500
Be: 0.0000 0.0000 0.5000
Be: 0.0000 0.0000 0.7500
Be: 0.1698 0.3396 0.6169
Be: 0.1698 0.3396 0.8831
Be: 0.1698 0.8302 0.6169
Be: 0.1698 0.8302 0.8831
Be: 0.3333 0.6667 0.7500
Be: 0.3396 0.1698 0.1169
Be: 0.3396 0.1698 0.3831
Be: 0.6604 0.8302 0.6169
Be: 0.6604 0.8302 0.8831
Be: 0.6667 0.3333 0.2500
Be: 0.8302 0.1698 0.1169
Be: 0.8302 0.1698 0.3831
Be: 0.8302 0.6604 0.1169
Be: 0.8302 0.6604 0.3831
Rh: 0.3333 0.6667 0.0402
Rh: 0.3333 0.6667 0.4598
Rh: 0.6667 0.3333 0.5402
Rh: 0.6667 0.3333 0.9598

Properties
Space-group type   P6_3/mmc, No. 194
DFT total energy   -114.12 eV per cell
Formation energy from the elements   -0.35 eV per atom

[5]
This record from the Alexandria database describes crystalline Tb3YRu3 at its relaxed geometry. The functional is PBE.

abc: 5.8646 5.8646 5.8646
angles: 109.55 109.55 109.55
Positions (direct):
Tb: 0.0572 0.4714 0.4714
Tb: 0.4714 0.0572 0.4714
Tb: 0.4714 0.4714 0.0572
Y: 0.8848 0.8848 0.8848
Ru: 0.4709 0.9716 0.9716
Ru: 0.9716 0.4709 0.9716
Ru: 0.9716 0.9716 0.4709

Properties
Space-group type   R3m, No. 160
DFT total energy   -50.52 eV per cell
Formation energy from the elements   -0.33 eV per atom

[6]
This record from the Alexandria database describes crystalline VHg3Rh at its relaxed geometry. The functional is PBE.

abc: 5.1520 5.1520 5.1520
angles: 90.00 90.00 90.00
Positions (direct):
V: 0.0000 0.0000 0.0000
Hg: 0.0000 0.5000 0.5000
Hg: 0.5000 0.0000 0.5000
Hg: 0.5000 0.5000 0.0000
Rh: 0.5000 0.5000 0.5000

Properties
Space-group type   Pm-3m, No. 221
DFT total energy   -13.42 eV per cell
Formation energy from the elements   0.79 eV per atom
Energy above the most stable polymorph in this dataset   0 meV/atom

[7]
This record from the Alexandria database describes crystalline V3AsPt at its relaxed geometry. The functional is PBE.

abc: 4.4422 4.4422 4.4422
angles: 90.00 90.00 90.00
Positions (direct):
V: 0.0000 0.0000 0.5000
V: 0.0000 0.5000 0.0000
V: 0.5000 0.0000 0.0000
As: 0.0000 0.0000 0.0000
Pt: 0.5000 0.5000 0.5000

Properties
Space-group type   Pm-3m, No. 221
DFT total energy   -34.96 eV per cell
Formation energy from the elements   0.62 eV per atom
Energy above the most stable polymorph in this dataset   0 meV/atom

[8]
This record from the Alexandria database describes crystalline TlP2Ru at its relaxed geometry. The functional is PBE.

abc: 2.9174 4.9703 10.2904
angles: 90.00 90.00 90.00
Positions (direct):
Tl: 0.0000 0.0000 0.0000
Tl: 0.5000 0.5000 0.5000
P: 0.0000 0.5000 0.1875
P: 0.0000 0.5000 0.8125
P: 0.5000 0.0000 0.3125
P: 0.5000 0.0000 0.6875
Ru: 0.0000 0.0000 0.5000
Ru: 0.5000 0.5000 0.0000

Properties
Space-group type   Immm, No. 71
DFT total energy   -42.18 eV per cell
Formation energy from the elements   0.34 eV per atom
Energy above the most stable polymorph in this dataset   389 meV/atom

[9]
This record from the Alexandria database describes crystalline CaHgPb at its relaxed geometry. The functional is PBE.

abc: 3.8226 3.8226 7.1911
angles: 90.00 90.00 120.00
Positions (direct):
Ca: 0.0000 0.0000 0.0000
Hg: 0.3333 0.6667 0.3126
Pb: 0.6667 0.3333 0.6372

Properties
Space-group type   P3m1, No. 156
DFT total energy   -6.86 eV per cell
Formation energy from the elements   -0.28 eV per atom

[10]
This record from the Alexandria database describes crystalline Ho2Sc2Ge3 at its relaxed geometry. The functional is PBE.

abc: 13.6478 4.1154 7.3017
angles: 90.00 109.28 90.00
Positions (direct):
Ho: 0.1215 0.0000 0.3906
Ho: 0.3785 0.5000 0.6094
Ho: 0.6215 0.5000 0.3906
Ho: 0.8785 0.0000 0.6094
Sc: 0.1668 0.5000 0.8311
Sc: 0.3332 0.0000 0.1689
Sc: 0.6668 0.0000 0.8311
Sc: 0.8332 0.5000 0.1689
Ge: 0.0000 0.5000 0.5000
Ge: 0.2161 0.5000 0.2242
Ge: 0.2839 0.0000 0.7758
Ge: 0.5000 0.0000 0.5000
Ge: 0.7161 0.0000 0.2242
Ge: 0.7839 0.5000 0.7758

Properties
Space-group type   C2/m, No. 12
DFT total energy   -79.53 eV per cell
Formation energy from the elements   -0.59 eV per atom

[11]
This record from the Alexandria database describes crystalline Yb2Nd3Ga3O12 at its relaxed geometry. The functional is PBE.

abc: 11.3158 11.3158 11.3158
angles: 109.47 109.47 109.47
Positions (direct):
Yb: 0.0000 0.0000 0.0000
Yb: 0.0000 0.0000 0.5000
Yb: 0.0000 0.5000 0.0000
Yb: 0.0000 0.5000 0.5000
Yb: 0.5000 0.0000 0.0000
Yb: 0.5000 0.0000 0.5000
Yb: 0.5000 0.5000 0.0000
Yb: 0.5000 0.5000 0.5000
Nd: 0.1250 0.2500 0.3750
Nd: 0.1250 0.3750 0.7500
Nd: 0.2500 0.3750 0.1250
Nd: 0.2500 0.8750 0.6250
Nd: 0.3750 0.1250 0.2500
Nd: 0.3750 0.7500 0.1250
Nd: 0.6250 0.2500 0.8750
Nd: 0.6250 0.8750 0.7500
Nd: 0.7500 0.1250 0.3750
Nd: 0.7500 0.6250 0.8750
Nd: 0.8750 0.6250 0.2500
Nd: 0.8750 0.7500 0.6250
Ga: 0.1250 0.7500 0.8750
Ga: 0.1250 0.8750 0.2500
Ga: 0.2500 0.1250 0.8750
Ga: 0.2500 0.6250 0.3750
Ga: 0.3750 0.2500 0.6250
Ga: 0.3750 0.6250 0.7500
Ga: 0.6250 0.3750 0.2500
Ga: 0.6250 0.7500 0.3750
Ga: 0.7500 0.3750 0.6250
Ga: 0.7500 0.8750 0.1250
Ga: 0.8750 0.1250 0.7500
Ga: 0.8750 0.2500 0.1250
O: 0.0292 0.2185 0.1284
O: 0.0292 0.3107 0.9008
O: 0.0901 0.7185 0.6893
O: 0.0901 0.8716 0.4008
O: 0.0992 0.6284 0.4099
O: 0.0992 0.9708 0.6893
O: 0.1284 0.0292 0.2185
O: 0.1284 0.5992 0.9099
O: 0.1893 0.2185 0.5901
O: 0.1893 0.4708 0.5992
O: 0.2185 0.1284 0.0292
O: 0.2185 0.5901 0.1893
O: 0.2815 0.3107 0.9099
O: 0.2815 0.4708 0.3716
O: 0.3107 0.9008 0.0292
O: 0.3107 0.9099 0.2815
O: 0.3716 0.2815 0.4708
O: 0.3716 0.5901 0.9008
O: 0.4008 0.0901 0.8716
O: 0.4008 0.8107 0.5292
O: 0.4099 0.0992 0.6284
O: 0.4099 0.8107 0.7815
O: 0.4708 0.3716 0.2815
O: 0.4708 0.5992 0.1893
O: 0.5292 0.4008 0.8107
O: 0.5292 0.6284 0.7185
O: 0.5901 0.1893 0.2185
O: 0.5901 0.9008 0.3716
O: 0.5992 0.1893 0.4708
O: 0.5992 0.9099 0.1284
O: 0.6284 0.4099 0.0992
O: 0.6284 0.7185 0.5292
O: 0.6893 0.0901 0.7185
O: 0.6893 0.0992 0.9708
O: 0.7185 0.5292 0.6284
O: 0.7185 0.6893 0.0901
O: 0.7815 0.4099 0.8107
O: 0.7815 0.8716 0.9708
O: 0.8107 0.5292 0.4008
O: 0.8107 0.7815 0.4099
O: 0.8716 0.4008 0.0901
O: 0.8716 0.9708 0.7815
O: 0.9008 0.0292 0.3107
O: 0.9008 0.3716 0.5901
O: 0.9099 0.1284 0.5992
O: 0.9099 0.2815 0.3107
O: 0.9708 0.6893 0.0992
O: 0.9708 0.7815 0.8716

Properties
Space-group type   Ia-3d, No. 230
DFT total energy   -559.89 eV per cell
Uncorrected formation energy   -2.702 eV/atom

[12]
This record from the Alexandria database describes crystalline CsK2Na2 at its relaxed geometry. The functional is PBE.

abc: 6.9660 6.9660 14.3543
angles: 90.00 90.00 90.00
Positions (direct):
Cs: 0.0000 0.0000 0.0000
Cs: 0.5000 0.5000 0.5000
K: 0.0000 0.0000 0.3586
K: 0.0000 0.0000 0.6414
K: 0.5000 0.5000 0.1414
K: 0.5000 0.5000 0.8586
Na: 0.0000 0.5000 0.2500
Na: 0.0000 0.5000 0.7500
Na: 0.5000 0.0000 0.2500
Na: 0.5000 0.0000 0.7500

Properties
Space-group type   I4/mmm, No. 139
DFT total energy   -10.58 eV per cell
Formation energy from the elements   0.08 eV per atom
Energy above the most stable polymorph in this dataset   56 meV/atom

[13]
This record from the Alexandria database describes crystalline ZrTl3Mo at its relaxed geometry. The functional is PBE.

abc: 5.2878 5.2878 5.2878
angles: 90.00 90.00 90.00
Positions (direct):
Zr: 0.0000 0.0000 0.0000
Tl: 0.0000 0.5000 0.5000
Tl: 0.5000 0.0000 0.5000
Tl: 0.5000 0.5000 0.0000
Mo: 0.5000 0.5000 0.5000

Properties
Space-group type   Pm-3m, No. 221
DFT total energy   -21.11 eV per cell
Formation energy from the elements   1.07 eV per atom
Energy above the most stable polymorph in this dataset   0 meV/atom

[14]
This record from the Alexandria database describes crystalline DyScAgRh at its relaxed geometry. The functional is PBE.

abc: 6.8670 6.8670 6.8670
angles: 90.00 90.00 90.00
Positions (direct):
Dy: 0.0000 0.0000 0.0000
Dy: 0.0000 0.5000 0.5000
Dy: 0.5000 0.0000 0.5000
Dy: 0.5000 0.5000 0.0000
Sc: 0.0000 0.0000 0.5000
Sc: 0.0000 0.5000 0.0000
Sc: 0.5000 0.0000 0.0000
Sc: 0.5000 0.5000 0.5000
Ag: 0.2500 0.2500 0.7500
Ag: 0.2500 0.7500 0.2500
Ag: 0.7500 0.2500 0.2500
Ag: 0.7500 0.7500 0.7500
Rh: 0.2500 0.2500 0.2500
Rh: 0.2500 0.7500 0.7500
Rh: 0.7500 0.2500 0.7500
Rh: 0.7500 0.7500 0.2500

Properties
Space-group type   F-43m, No. 216
DFT total energy   -93.58 eV per cell
Formation energy from the elements   -0.56 eV per atom

[15]
This record from the Alexandria database describes crystalline SmSc3Ag2 at its relaxed geometry. The functional is PBE.

abc: 3.4340 3.4340 11.7667
angles: 90.00 90.00 90.00
Positions (direct):
Sm: 0.0000 0.0000 0.0000
Sc: 0.5000 0.5000 0.2082
Sc: 0.5000 0.5000 0.5000
Sc: 0.5000 0.5000 0.7918
Ag: 0.0000 0.0000 0.3526
Ag: 0.0000 0.0000 0.6474

Properties
Space-group type   P4/mmm, No. 123
DFT total energy   -30.34 eV per cell
Formation energy from the elements   -0.15 eV per atom